A relaxed structure of K2DyBrO2. Source: Alexandria via LeMat-Bulk, functional PBE-GGA.

Calculated values
For the formation energy without anion corrections, the calculation gives -2.18 eV/atom. The value obtained for the magnetization is 0.00 Bohr magnetons per cell. Its final energy is -5.24 eV per atom.

Cell: 4.4803 4.4803 6.6130 Å, 90.00 90.00 90.00°
With the nearest neighbours (Å) after each atom.
Positions (direct):
K1 0.5000 0.5000 0.7553  4 O 2.76
K2 0.5000 0.5000 0.2447  4 O 2.76
Dy1 0.0000 0.0000 0.0000  4 O 2.24
Br1 0.0000 0.0000 0.5000  2 Dy 3.31, 8 K 3.59
O1 0.5000 0.0000 0.0000  2 Dy 2.24
O2 0.0000 0.5000 0.0000  2 Dy 2.24